The following is a DFT calculation (PBE) of Sc2TeRu after structural relaxation.

Cell: 8.9135 8.9135 8.9135 Å, 23.12 23.12 23.12°
Sites, in units of the cell vectors:
Sc1 0.0887 0.0887 0.0887
Sc2 0.9113 0.9113 0.9113
Te1 0.5000 0.5000 0.5000
Ru1 0.0000 0.0000 0.0000

Results
The total energy comes out at -6.195 eV per atom.

The following is a DFT calculation (PBE) of Sc2TeRu after structural relaxation.

Cell: 3.6033 4.3127 5.5759 Å, 90.00 108.82 90.00°
Sites, in units of the cell vectors:
Sc1 0.0000 0.0000 0.0000
Sc2 0.3058 0.5000 0.6127
Te1 0.5843 0.5000 0.1689
Ru1 0.7563 0.0000 0.5164

Results
The total energy comes out at -6.965 eV per atom.

The following is a DFT calculation (PBE) of Sc3TeRu after structural relaxation.

Cell: 5.1663 5.1663 5.1663 Å, 90.00 90.00 90.00°
Sites, in units of the cell vectors:
Sc1 0.0000 0.0000 0.5000
Sc2 0.0000 0.5000 0.0000
Sc3 0.5000 0.0000 0.0000
Te1 0.0000 0.0000 0.0000
Ru1 0.5000 0.5000 0.5000

Results
For the energy above the lowest structure with this stoichiometry, the calculation gives 997 meV per atom. The total energy comes out at -5.608 eV per atom.

The following is a DFT calculation (PBE) of ScTe2Ru after structural relaxation.

Cell: 4.8416 4.8416 3.4413 Å, 90.00 90.00 90.00°
Sites, in units of the cell vectors:
Sc1 0.0000 0.0000 0.0000
Te1 0.0000 0.5000 0.5000
Te2 0.5000 0.0000 0.5000
Ru1 0.5000 0.5000 0.0000

Results
For the energy above the lowest structure with this stoichiometry, the calculation gives 86 meV per atom. The total energy comes out at -5.854 eV per atom.